# SiAs2IrSe, relaxed, DFT GGA-PBE
data_SiAs2IrSe
_space_group_name_H-M_alt 'P 4/m m m'
_space_group_IT_number 123
_space_group_name_Hall '-P 4 2'
_cell_length_a 4.6674
_cell_length_b 4.6674
_cell_length_c 5.4142
_cell_angle_alpha 90.00
_cell_angle_beta 90.00
_cell_angle_gamma 90.00
loop_
_atom_site_label
_atom_site_fract_x
_atom_site_fract_y
_atom_site_fract_z
Si1 0.0000 0.0000 0.0000
As1 0.0000 0.5000 0.5000
Ir1 0.5000 0.5000 0.5000
Se1 0.5000 0.5000 0.0000
# E above lowest polymorph: 0 meV/atom
# Crystal system: tetragonal
# Size of the total moment: 0.00 μB/f.u.
# Density: 6323 kg/m³
# DFT total energy: -4.648 eV per atom
# ΔE_f (raw): 0.765 eV/atom
# DOS(E_F): 3.346 states/eV per cell

***

# MnAs2Pd8, relaxed, DFT GGA-PBE
data_MnAs2Pd8
_space_group_name_H-M_alt 'P 1'
_space_group_IT_number 1
_cell_length_a 4.8332
_cell_length_b 5.6378
_cell_length_c 7.3070
_cell_angle_alpha 110.14
_cell_angle_beta 106.29
_cell_angle_gamma 97.25
loop_
_space_group_symop_operation_xyz
'x,y,z'
loop_
_atom_site_label
_atom_site_fract_x
_atom_site_fract_y
_atom_site_fract_z
Mn1 0.0000 0.0000 0.0000
As1 0.3307 0.3737 0.6805
As2 0.6474 0.6951 0.3200
Pd1 0.1692 0.9410 0.3807
Pd2 0.1897 0.4347 0.3445
Pd3 0.2042 0.5885 0.9995
Pd4 0.3828 0.8603 0.7678
Pd5 0.6143 0.0926 0.2324
Pd6 0.6870 0.3746 0.0010
Pd7 0.7896 0.5615 0.6190
Pd8 0.8455 0.0920 0.6562
# Energy of formation from the pure elements: -289 meV/atom
# E above lowest polymorph: 0 meV/atom
# Crystal system: triclinic
# Size of the total moment: 4.51 μB/f.u.
# Density: 10088 kg/m³
# DFT total energy: -5.744 eV per atom
# DOS(E_F): 5.562 states/eV per cell

***

# ScMnAu, relaxed, DFT GGA-PBE
data_ScMnAu
_space_group_name_H-M_alt 'P 3 m 1'
_space_group_IT_number 156
_cell_length_a 4.5149
_cell_length_b 4.5149
_cell_length_c 3.1935
_cell_angle_alpha 90.00
_cell_angle_beta 90.00
_cell_angle_gamma 120.00
loop_
_space_group_symop_operation_xyz
'x,y,z'
'-y,x-y,z'
'-x+y,-x,z'
'-y,-x,z'
'-x+y,y,z'
'x,x-y,z'
loop_
_atom_site_label
_atom_site_fract_x
_atom_site_fract_y
_atom_site_fract_z
Sc1 0.0000 0.0000 0.0000
Mn1 0.3333 0.6667 0.5170
Au1 0.6667 0.3333 0.4746
# Energy of formation from the pure elements: -210 meV/atom
# Crystal system: trigonal
# Size of the total moment: 3.47 μB/f.u.
# Density: 8744 kg/m³
# DFT total energy: -6.469 eV per atom
# DOS(E_F): 2.654 states/eV per cell

***

# TaB3Rh, relaxed, DFT GGA-PBE
data_TaB3Rh
_space_group_name_H-M_alt 'P m -3 m'
_space_group_IT_number 221
_space_group_name_Hall '-P 4 2 3'
_cell_length_a 3.9572
_cell_length_b 3.9572
_cell_length_c 3.9572
_cell_angle_alpha 90.00
_cell_angle_beta 90.00
_cell_angle_gamma 90.00
loop_
_atom_site_label
_atom_site_fract_x
_atom_site_fract_y
_atom_site_fract_z
Ta1 0.0000 0.0000 0.0000
B1 0.0000 0.5000 0.5000
Rh1 0.5000 0.5000 0.5000
# Energy of formation from the pure elements: 1179 meV/atom
# E above lowest polymorph: 0 meV/atom
# Crystal system: cubic
# Size of the total moment: 0.00 μB/f.u.
# Density: 8475 kg/m³
# DFT total energy: -6.669 eV per atom
# DOS(E_F): 5.146 states/eV per cell